Record 1
This record from Alexandria describes an optimized crystal structure of MgHg. The functional is PBE-GGA.

The structure belongs to space group P4/nmm (No. 129, origin choice 2); the cell edges are 3.867, 3.867 and 5.938 Å and the angles 90.00°, 90.00° and 90.00°. Symmetry generates all atoms from Mg at (0.250, 0.250, 0.153) and Hg at (0.250, 0.250, 0.658).

Its total moment is 0.00 μB per formula unit. The formation energy from the elements is -0.163 eV per atom. The crystal system is tetragonal.


Record 2
This record from Alexandria describes an optimized crystal structure of MgHg2. The functional is PBE-GGA.

The structure belongs to space group P4/mmm (No. 123); the cell edges are 4.816, 4.816 and 3.362 Å and the angles 90.00°, 90.00° and 90.00°. Symmetry generates all atoms from Mg at (0.000, 0.000, 0.000) and Hg at (0.000, 0.500, 0.500).

Its total moment is 0.00 μB per formula unit. The formation energy from the elements is -0.099 eV per atom. The crystal system is tetragonal.


Record 3
This record from Alexandria describes an optimized crystal structure of MgHg. The functional is PBE-GGA.

The structure belongs to space group Pm-3n (No. 223); the cell edges are 7.908, 7.908 and 7.908 Å and the angles 90.00°, 90.00° and 90.00°. Symmetry generates all atoms from Mg at (0.000, 0.250, 0.500) and Hg at (0.000, 0.500, 0.250).

Its total moment is 0.00 μB per formula unit. The formation energy from the elements is 0.255 eV per atom. The crystal system is cubic.


Record 4
This record from Alexandria describes an optimized crystal structure of Mg5Hg. The functional is PBE-GGA.

The structure belongs to space group F-43m (No. 216); the cell edges are 8.265, 8.265 and 8.265 Å and the angles 90.00°, 90.00° and 90.00°. Symmetry generates all atoms from Mg at (0.000, 0.000, 0.000), Mg at (0.125, 0.125, 0.375) and Hg at (0.250, 0.250, 0.750).

Its total moment is 0.00 μB per formula unit. For the energy above the most stable polymorph in this dataset, the calculation gives 0.140 eV/atom. The formation energy from the elements is 0.051 eV per atom. The crystal system is cubic.


Record 5
This record from Alexandria describes an optimized crystal structure of MgHg3. The functional is PBE-GGA.

The structure belongs to space group R-3m (No. 166, hexagonal axes); the cell edges are 10.1487, 10.1487 and 3.2785 Å and the angles 90.00°, 90.00° and 120.00°. Symmetry generates all atoms from Mg at (0.0000, 0.0000, 0.0000) and Hg at (0.0000, 0.5000, 0.0000).

Its total moment is 0.00 μB per formula unit. The formation energy from the elements is -0.022 eV per atom. The crystal system is trigonal.


Record 6
This record from Alexandria describes an optimized crystal structure of MgHg15. The functional is PBE-GGA.

The structure belongs to space group P-6m2 (No. 187); the cell edges are 7.2401, 7.2401 and 9.4815 Å and the angles 90.00°, 90.00° and 120.00°. Symmetry generates all atoms from Mg at (0.0000, 0.0000, 0.0000), Hg at (0.0000, 0.0000, 0.5000), Hg at (0.0146, 0.5073, 0.0000), Hg at (0.3190, 0.1595, 0.2409), Hg at (0.3333, 0.6667, 0.2682) and Hg at (0.5129, 0.0257, 0.5000).

Its total moment is 0.00 μB per formula unit. The formation energy from the elements is 0.006 eV per atom. The crystal system is hexagonal.